Entry one
# CdSb2I8

A relaxed structure of CdSb2I8 (GGA-PBE, the Alexandria database).

a b c (Å): 8.9738 8.9738 9.0270
angles (deg): 92.06 92.06 58.29
Sites, in units of the cell vectors:
Cd: 0.0000 0.0000 0.0000
Sb: 0.1360 0.1360 0.3554
Sb: 0.8640 0.8640 0.6446
I: 0.0796 0.0796 0.7207
I: 0.1045 0.6278 0.8589
I: 0.3113 0.3113 0.4229
I: 0.3722 0.8955 0.1411
I: 0.6278 0.1045 0.8589
I: 0.6887 0.6887 0.5771
I: 0.8955 0.3722 0.1411
I: 0.9204 0.9204 0.2793

Properties
Theoretical density ... 3685 kg/m³


Entry two
# CdSb2I8

A relaxed structure of CdSb2I8 (GGA-PBE, the Alexandria database).

a b c (Å): 8.6607 8.6607 8.5515
angles (deg): 100.89 100.89 97.67
Sites, in units of the cell vectors:
Cd: 0.0000 0.0000 0.0000
Sb: 0.1658 0.1658 0.5931
Sb: 0.8342 0.8342 0.4069
I: 0.0565 0.7254 0.2241
I: 0.2268 0.2268 0.2282
I: 0.2746 0.9435 0.7759
I: 0.4159 0.4159 0.7248
I: 0.5841 0.5841 0.2752
I: 0.7254 0.0565 0.2241
I: 0.7732 0.7732 0.7718
I: 0.9435 0.2746 0.7759

Properties
Theoretical density ... 3739 kg/m³


Most stable pick: entry one. Distance to second place: 6 meV/atom.


Entry one
# CdSbI

A relaxed structure of CdSbI (GGA-PBE, the Alexandria database).

a b c (Å): 4.3719 4.3719 13.5611
angles (deg): 97.31 97.31 57.10
Sites, in units of the cell vectors:
Cd: 0.0413 0.0413 0.2774
Cd: 0.9587 0.9587 0.7226
Sb: 0.3633 0.3633 0.5626
Sb: 0.6367 0.6367 0.4374
I: 0.2991 0.2991 0.8531
I: 0.7009 0.7009 0.1469

Properties
Theoretical density ... 5569 kg/m³


Entry two
# CdSbI

A relaxed structure of CdSbI (GGA-PBE, the Alexandria database).

a b c (Å): 7.5643 4.2566 8.2509
angles (deg): 90.00 106.19 90.00
Sites, in units of the cell vectors:
Cd: 0.1956 0.2500 0.1867
Cd: 0.8044 0.7500 0.8133
Sb: 0.3805 0.2500 0.5285
Sb: 0.6195 0.7500 0.4715
I: 0.2247 0.7500 0.9410
I: 0.7753 0.2500 0.0590

Properties
Theoretical density ... 4700 kg/m³


Entry three
# CdSbI

A relaxed structure of CdSbI (GGA-PBE, the Alexandria database).

a b c (Å): 7.3852 7.3852 7.3852
angles (deg): 144.48 78.29 112.89
Sites, in units of the cell vectors:
Cd: 0.2081 0.2500 0.4581
Cd: 0.7919 0.7500 0.5419
Sb: 0.6235 0.4540 0.6695
Sb: 0.7845 0.9540 0.3305
I: 0.0830 0.4775 0.1055
I: 0.3720 0.9775 0.8945

Properties
Theoretical density ... 5693 kg/m³


Entry four
# CdSbI

A relaxed structure of CdSbI (GGA-PBE, the Alexandria database).

a b c (Å): 6.9725 6.9725 8.5818
angles (deg): 111.71 111.71 36.08
Sites, in units of the cell vectors:
Cd: 0.0000 0.0000 0.0000
Cd: 0.2134 0.2134 0.6709
Sb: 0.3517 0.3517 0.4894
Sb: 0.9946 0.9946 0.6713
I: 0.5782 0.5782 0.2424
I: 0.7670 0.7670 0.9472

Properties
Theoretical density ... 5298 kg/m³


Most stable pick: entry four. Distance to second place: 28 meV/atom.


Entry one
# CdSbI

A relaxed structure of CdSbI (GGA-PBE, the Alexandria database).

a b c (Å): 7.7206 7.7206 8.5895
angles (deg): 114.79 114.79 31.99
Sites, in units of the cell vectors:
Cd: 0.1766 0.1766 0.1236
Cd: 0.8234 0.8234 0.8764
Sb: 0.1752 0.1752 0.4451
Sb: 0.8248 0.8248 0.5549
I: 0.3919 0.3919 0.1449
I: 0.6081 0.6081 0.8551

Properties
Theoretical density ... 4913 kg/m³


Entry two
# CdSbI

A relaxed structure of CdSbI (GGA-PBE, the Alexandria database).

a b c (Å): 4.3387 6.8838 8.9187
angles (deg): 69.10 76.07 71.71
Sites, in units of the cell vectors:
Cd: 0.0000 0.0000 0.0000
Cd: 0.4164 0.5412 0.6181
Sb: 0.2349 0.6031 0.9264
Sb: 0.7627 0.3571 0.1178
I: 0.0711 0.2545 0.5946
I: 0.4209 0.8513 0.3074

Properties
Theoretical density ... 5129 kg/m³


Most stable pick: entry one. Distance to second place: 7 meV/atom.


Entry one
# CdSbI

A relaxed structure of CdSbI (GGA-PBE, the Alexandria database).

a b c (Å): 5.7344 4.3221 9.1949
angles (deg): 90.00 107.83 90.00
Sites, in units of the cell vectors:
Cd: 0.0000 0.0000 0.0000
Cd: 0.2656 0.5000 0.6851
Sb: 0.5011 0.0000 0.1649
Sb: 0.6172 0.5000 0.9753
I: 0.2473 0.5000 0.3745
I: 0.8939 0.0000 0.6572

Properties
Theoretical density ... 5527 kg/m³


Entry two
# CdSbI

A relaxed structure of CdSbI (GGA-PBE, the Alexandria database).

a b c (Å): 4.2560 7.5934 9.0245
angles (deg): 114.03 103.48 90.00
Sites, in units of the cell vectors:
Cd: 0.0000 0.0000 0.0000
Cd: 0.4898 0.4220 0.9763
Sb: 0.3245 0.1561 0.6433
Sb: 0.8316 0.9033 0.6575
I: 0.0770 0.7107 0.1540
I: 0.6140 0.2458 0.2298

Properties
Theoretical density ... 4656 kg/m³


Most stable pick: entry two. Distance to second place: 21 meV/atom.


Entry one
# Cd4Sb2I3

A relaxed structure of Cd4Sb2I3 (GGA-PBE, the Alexandria database).

a b c (Å): 9.1165 9.1165 8.2608
angles (deg): 101.04 101.04 103.64
Sites, in units of the cell vectors:
Cd: 0.0947 0.6787 0.9872
Cd: 0.2728 0.3775 0.4706
Cd: 0.3213 0.9053 0.5128
Cd: 0.3775 0.2728 0.9706
Cd: 0.6225 0.7272 0.0294
Cd: 0.6787 0.0947 0.4872
Cd: 0.7272 0.6225 0.5294
Cd: 0.9053 0.3213 0.0128
Sb: 0.2390 0.4698 0.1622
Sb: 0.4698 0.2390 0.6622
Sb: 0.5302 0.7610 0.3378
Sb: 0.7610 0.5302 0.8378
I: 0.0142 0.2293 0.6167
I: 0.2293 0.0142 0.1167
I: 0.3184 0.6816 0.7500
I: 0.6816 0.3184 0.2500
I: 0.7707 0.9858 0.8833
I: 0.9858 0.7707 0.3833

Properties
Theoretical density ... 5622 kg/m³


Entry two
# Cd4Sb2I3

A relaxed structure of Cd4Sb2I3 (GGA-PBE, the Alexandria database).

a b c (Å): 10.1200 10.1200 7.2623
angles (deg): 98.88 98.88 83.09
Sites, in units of the cell vectors:
Cd: 0.0219 0.2000 0.1116
Cd: 0.2000 0.0219 0.6116
Cd: 0.3314 0.3549 0.4084
Cd: 0.3549 0.3314 0.9084
Cd: 0.6451 0.6686 0.0916
Cd: 0.6686 0.6451 0.5916
Cd: 0.8000 0.9781 0.3884
Cd: 0.9781 0.8000 0.8884
Sb: 0.1334 0.4333 0.1055
Sb: 0.4333 0.1334 0.6055
Sb: 0.5667 0.8666 0.3945
Sb: 0.8666 0.5667 0.8945
I: 0.0516 0.7915 0.4734
I: 0.2085 0.9484 0.0266
I: 0.4074 0.5926 0.7500
I: 0.5926 0.4074 0.2500
I: 0.7915 0.0516 0.9734
I: 0.9484 0.2085 0.5266

Properties
Theoretical density ... 4936 kg/m³


Most stable pick: entry one. Distance to second place: 25 meV/atom.


Entry one
# Cd2Sb2I

A relaxed structure of Cd2Sb2I (GGA-PBE, the Alexandria database).

a b c (Å): 5.0171 5.0171 9.1868
angles (deg): 91.67 91.67 47.46
Sites, in units of the cell vectors:
Cd: 0.0204 0.0204 0.2394
Cd: 0.9796 0.9796 0.7606
Sb: 0.2692 0.2692 0.8847
Sb: 0.7308 0.7308 0.1153
I: 0.5000 0.5000 0.5000

Properties
Theoretical density ... 5804 kg/m³


Entry two
# Cd2Sb2I

A relaxed structure of Cd2Sb2I (GGA-PBE, the Alexandria database).

a b c (Å): 6.4591 6.4591 6.4591
angles (deg): 129.63 129.63 73.99
Sites, in units of the cell vectors:
Cd: 0.2500 0.7500 0.5000
Cd: 0.7500 0.2500 0.5000
Sb: 0.1372 0.1372 0.0000
Sb: 0.8628 0.8628 0.0000
I: 0.5000 0.5000 0.0000

Properties
Theoretical density ... 6341 kg/m³


Entry three
# Cd2Sb2I

A relaxed structure of Cd2Sb2I (GGA-PBE, the Alexandria database).

a b c (Å): 8.8318 8.8318 3.6695
angles (deg): 90.00 90.00 90.00
Sites, in units of the cell vectors:
Cd: 0.1418 0.3582 0.0000
Cd: 0.3582 0.8582 0.0000
Cd: 0.6418 0.1418 0.0000
Cd: 0.8582 0.6418 0.0000
Sb: 0.1581 0.6581 0.5000
Sb: 0.3419 0.1581 0.5000
Sb: 0.6581 0.8419 0.5000
Sb: 0.8419 0.3419 0.5000
I: 0.0000 0.0000 0.5000
I: 0.5000 0.5000 0.5000

Properties
Theoretical density ... 6907 kg/m³


Most stable pick: entry one. Distance to second place: 100 meV/atom.